A relaxed HfAlGa crystal, computed with PBE.

Output
- magnetization (μB per formula unit) = 0.0
- E_form (eV/atom) = 0.036
- total energy (eV per atom) = -5.54

```
data_HfAlGa
_chemical_formula_sum 'Hf2 Al2 Ga2'
_symmetry_space_group_name_H-M 'I 4 m m'
_symmetry_Int_Tables_number 107
_symmetry_space_group_name_Hall 'I 4 -2'
_cell_length_a 3.756
_cell_length_b 3.756
_cell_length_c 8.172
_cell_angle_alpha 90.00
_cell_angle_beta 90.00
_cell_angle_gamma 90.00
loop_
_atom_site_label
_atom_site_type_symbol
_atom_site_fract_x
_atom_site_fract_y
_atom_site_fract_z
_atom_site_occupancy
Hf1 Hf 0.000 0.000 0.000 1
Al1 Al 0.000 0.000 0.654 1
Ga1 Ga 0.000 0.000 0.340 1
```